A plane-wave DFT calculation with PBE was carried out for a relaxed TiCoSe3 crystal.

```
10
Lattice="-1.246 2.433 2.209 1.546 -3.386 4.603 9.277 6.617 -2.053" Properties=species:S:1:pos:R:3 pbc="T T T"
Ti 2.923 2.574 3.008
Ti 5.959 4.611 -0.319
Se 7.221 3.744 4.145
Se 5.061 1.171 2.964
Se 2.358 1.912 0.623
Se 4.513 4.496 1.788
Se 8.240 4.852 0.703
Se 1.296 0.900 3.934
Co 6.684 5.075 2.376
Co 3.252 -0.200 3.454
```

* space-group type: No. 40
* N(E_F): 8.1 states/eV/cell
* energy above the lowest structure with this stoichiometry: 0 meV per atom